1.
Compound: Y2HIrPd
Source: Alexandria
Functional: PBEsol
Structure: optimized geometry

Properties
As for the total energy: -0.5346 Ry/atom. The density of states at the Fermi level comes out at 1.99 states/eV/f.u.

```
data_Y2HIrPd
_space_group_name_H-M_alt 'P 1'
_space_group_IT_number 1
_cell_length_a 3.5656
_cell_length_b 4.8164
_cell_length_c 4.8164
_cell_angle_alpha 90.00
_cell_angle_beta 90.00
_cell_angle_gamma 90.00
loop_
_space_group_symop_operation_xyz
'x,y,z'
loop_
_atom_site_label
_atom_site_fract_x
_atom_site_fract_y
_atom_site_fract_z
_atom_site_occupancy
Y1 0.0000 0.0000 0.5000 1
Y2 0.0000 0.5000 0.0000 1
H1 0.0000 0.0000 0.0000 1
Ir1 0.5000 0.5000 0.5000 1
Pd1 0.5000 0.0000 0.0000 1
```

=====

2.
Compound: BeCuAs
Source: Alexandria
Functional: PBEsol
Structure: optimized geometry

Properties
The value obtained for the formation energy is 0.79 eV per formula unit. As for the total energy: -0.3098 Ry/atom. The density of states at the Fermi level comes out at 1.21 states/eV/f.u.

```
data_BeCuAs
_space_group_name_H-M_alt 'P 1'
_space_group_IT_number 1
_cell_length_a 2.8121
_cell_length_b 2.8121
_cell_length_c 5.5807
_cell_angle_alpha 90.00
_cell_angle_beta 90.00
_cell_angle_gamma 120.00
loop_
_space_group_symop_operation_xyz
'x,y,z'
loop_
_atom_site_label
_atom_site_fract_x
_atom_site_fract_y
_atom_site_fract_z
_atom_site_occupancy
Be1 0.3333 0.6667 0.6498 1
As1 0.0000 0.0000 0.9914 1
Cu1 0.6667 0.3333 0.3588 1
```

=====

3.
Compound: CsPbIN2
Source: Alexandria
Functional: PBEsol
Structure: optimized geometry

Properties
As for the total energy: -0.2173 Ry/atom. The density of states at the Fermi level comes out at 2.74 states/eV/f.u. For the formation energy (no corrections), the calculation gives 1.80 eV per atom.

```
data_CsPbIN2
_space_group_name_H-M_alt 'P 1'
_space_group_IT_number 1
_cell_length_a 4.6338
_cell_length_b 4.6338
_cell_length_c 6.6400
_cell_angle_alpha 90.00
_cell_angle_beta 90.00
_cell_angle_gamma 90.00
loop_
_space_group_symop_operation_xyz
'x,y,z'
loop_
_atom_site_label
_atom_site_fract_x
_atom_site_fract_y
_atom_site_fract_z
_atom_site_occupancy
Pb1 0.5000 0.5000 0.5000 1
Cs1 0.0000 0.0000 0.0000 1
I1 0.0000 0.0000 0.5000 1
N1 0.0000 0.5000 0.0000 1
N2 0.5000 0.0000 0.0000 1
```

=====

4.
Compound: Ti2GeSbS
Source: Alexandria
Functional: PBEsol
Structure: optimized geometry

Properties
As for the total energy: -0.4413 Ry/atom. The density of states at the Fermi level comes out at 5.10 states/eV/f.u. For the formation energy (no corrections), the calculation gives 0.10 eV per atom.

```
data_Ti2GeSbS
_space_group_name_H-M_alt 'P 1'
_space_group_IT_number 1
_cell_length_a 4.4781
_cell_length_b 4.4781
_cell_length_c 5.2015
_cell_angle_alpha 90.00
_cell_angle_beta 90.00
_cell_angle_gamma 90.00
loop_
_space_group_symop_operation_xyz
'x,y,z'
loop_
_atom_site_label
_atom_site_fract_x
_atom_site_fract_y
_atom_site_fract_z
_atom_site_occupancy
Sb1 0.0000 0.0000 0.5000 1
Ge1 0.5000 0.5000 0.5000 1
S1 0.0000 0.0000 0.0000 1
Ti1 0.0000 0.5000 0.0000 1
Ti2 0.5000 0.0000 0.0000 1
```

=====

5.
Compound: CoRh
Source: Alexandria
Functional: PBEsol
Structure: optimized geometry

Properties
The value obtained for the formation energy is 0.14 eV per formula unit. As for the total energy: -0.5781 Ry/atom. The density of states at the Fermi level comes out at 2.71 states/eV/f.u.

```
data_CoRh
_space_group_name_H-M_alt 'P 1'
_space_group_IT_number 1
_cell_length_a 2.6087
_cell_length_b 4.1776
_cell_length_c 4.4537
_cell_angle_alpha 90.00
_cell_angle_beta 90.00
_cell_angle_gamma 90.00
loop_
_space_group_symop_operation_xyz
'x,y,z'
loop_
_atom_site_label
_atom_site_fract_x
_atom_site_fract_y
_atom_site_fract_z
_atom_site_occupancy
Rh1 0.0000 0.5000 0.9120 1
Rh2 0.5000 0.0000 0.0880 1
Co1 0.0000 0.0000 0.5792 1
Co2 0.5000 0.5000 0.4208 1
```

=====

6.
Compound: LiIrBr2
Source: Alexandria
Functional: PBEsol
Structure: optimized geometry

Properties
As for the total energy: -0.3000 Ry/atom. The energy above the most stable polymorph in this dataset comes out at 0 meV per atom. For the formation energy (no corrections), the calculation gives -0.20 eV per atom.

```
data_LiIrBr2
_space_group_name_H-M_alt 'P 1'
_space_group_IT_number 1
_cell_length_a 3.6675
_cell_length_b 4.9721
_cell_length_c 6.4275
_cell_angle_alpha 102.36
_cell_angle_beta 90.00
_cell_angle_gamma 90.00
loop_
_space_group_symop_operation_xyz
'x,y,z'
loop_
_atom_site_label
_atom_site_fract_x
_atom_site_fract_y
_atom_site_fract_z
_atom_site_occupancy
Br1 0.0000 0.1831 0.7412 1
Br2 0.0000 0.8169 0.2588 1
Ir1 0.5000 0.0000 0.5000 1
Li1 0.5000 0.5000 0.5000 1
```

=====

7.
Compound: Zn2HgPd2
Source: Alexandria
Functional: PBEsol
Structure: optimized geometry

Properties
The value obtained for the formation energy is -0.56 eV per formula unit. As for the total energy: -0.2382 Ry/atom. The density of states at the Fermi level comes out at 1.73 states/eV/f.u.

```
data_Zn2HgPd2
_space_group_name_H-M_alt 'P 1'
_space_group_IT_number 1
_cell_length_a 3.8967
_cell_length_b 3.8967
_cell_length_c 6.1547
_cell_angle_alpha 108.46
_cell_angle_beta 108.46
_cell_angle_gamma 90.00
loop_
_space_group_symop_operation_xyz
'x,y,z'
loop_
_atom_site_label
_atom_site_fract_x
_atom_site_fract_y
_atom_site_fract_z
_atom_site_occupancy
Zn1 0.3921 0.3921 0.7842 1
Zn2 0.6079 0.6079 0.2158 1
Hg1 0.0000 0.0000 0.0000 1
Pd1 0.2500 0.7500 0.5000 1
Pd2 0.7500 0.2500 0.5000 1
```

=====

8.
Compound: Co2NiBr
Source: Alexandria
Functional: PBEsol
Structure: optimized geometry

Properties
As for the total energy: -0.3788 Ry/atom. The density of states at the Fermi level comes out at 4.52 states/eV/f.u. The energy above the most stable polymorph in this dataset comes out at 157 meV per atom. For the formation energy (no corrections), the calculation gives 0.72 eV per atom.

```
data_Co2NiBr
_space_group_name_H-M_alt 'P 1'
_space_group_IT_number 1
_cell_length_a 2.9633
_cell_length_b 3.9153
_cell_length_c 5.0453
_cell_angle_alpha 112.35
_cell_angle_beta 106.46
_cell_angle_gamma 91.53
loop_
_space_group_symop_operation_xyz
'x,y,z'
loop_
_atom_site_label
_atom_site_fract_x
_atom_site_fract_y
_atom_site_fract_z
_atom_site_occupancy
Ni1 0.5000 0.0000 0.0000 1
Co1 0.0000 0.0000 0.5000 1
Co2 0.5000 0.5000 0.5000 1
Br1 0.0000 0.5000 0.0000 1
```

=====

9.
Compound: Cs2AlBiH
Source: Alexandria
Functional: PBEsol
Structure: optimized geometry

Properties
As for the total energy: -0.1859 Ry/atom. The density of states at the Fermi level comes out at 2.55 states/eV/f.u.

```
data_Cs2AlBiH
_space_group_name_H-M_alt 'P 1'
_space_group_IT_number 1
_cell_length_a 4.3922
_cell_length_b 6.0831
_cell_length_c 6.0831
_cell_angle_alpha 90.00
_cell_angle_beta 90.00
_cell_angle_gamma 90.00
loop_
_space_group_symop_operation_xyz
'x,y,z'
loop_
_atom_site_label
_atom_site_fract_x
_atom_site_fract_y
_atom_site_fract_z
_atom_site_occupancy
Cs1 0.0000 0.0000 0.5000 1
Cs2 0.0000 0.5000 0.0000 1
H1 0.0000 0.0000 0.0000 1
Bi1 0.5000 0.5000 0.5000 1
Al1 0.5000 0.0000 0.0000 1
```

=====

10.
Compound: Mg2AlTc
Source: Alexandria
Functional: PBEsol
Structure: optimized geometry

Properties
The value obtained for the formation energy is 0.42 eV per formula unit. As for the total energy: -0.3375 Ry/atom. The density of states at the Fermi level comes out at 2.57 states/eV/f.u.

```
data_Mg2AlTc
_space_group_name_H-M_alt 'P 1'
_space_group_IT_number 1
_cell_length_a 3.8959
_cell_length_b 3.8959
_cell_length_c 4.2953
_cell_angle_alpha 90.00
_cell_angle_beta 90.00
_cell_angle_gamma 90.00
loop_
_space_group_symop_operation_xyz
'x,y,z'
loop_
_atom_site_label
_atom_site_fract_x
_atom_site_fract_y
_atom_site_fract_z
_atom_site_occupancy
Al1 0.0000 0.0000 0.5000 1
Mg1 0.0000 0.5000 0.0000 1
Mg2 0.5000 0.0000 0.0000 1
Tc1 0.5000 0.5000 0.5000 1
```